Entry 1:
The following is a DFT calculation (PBE) of a relaxed structure of Rb2TmU2S6.

```
data_Rb2TmU2S6
_symmetry_space_group_name_H-M 'C 1 2/m 1'
_symmetry_Int_Tables_number 12
_symmetry_space_group_name_Hall '-C 2y'
_cell_length_a 6.9514
_cell_length_b 12.0294
_cell_length_c 8.2083
_cell_angle_alpha 90.00
_cell_angle_beta 106.14
_cell_angle_gamma 90.00
loop_
_atom_site_label
_atom_site_fract_x
_atom_site_fract_y
_atom_site_fract_z
Rb1 0.0000 0.1660 0.0000
Tm1 0.0000 0.0000 0.5000
U1 0.0000 0.3343 0.5000
S1 0.2263 0.1667 0.6855
S2 0.2316 0.5000 0.6861
```

=====

Entry 2:
The following is a DFT calculation (PBE) of a relaxed structure of Rb3TmU2S6.

```
data_Rb3TmU2S6
_symmetry_space_group_name_H-M 'C 1 2/m 1'
_symmetry_Int_Tables_number 12
_symmetry_space_group_name_Hall '-C 2y'
_cell_length_a 7.0337
_cell_length_b 12.1827
_cell_length_c 8.0736
_cell_angle_alpha 90.00
_cell_angle_beta 106.88
_cell_angle_gamma 90.00
loop_
_atom_site_label
_atom_site_fract_x
_atom_site_fract_y
_atom_site_fract_z
Rb1 0.0000 0.0000 0.0000
Rb2 0.0000 0.3334 0.0000
Tm1 0.0000 0.5000 0.5000
U1 0.0000 0.1667 0.5000
S1 0.2290 0.3351 0.6925
S2 0.2344 0.0000 0.6924
```

=====

Entry 3:
The following is a DFT calculation (PBE) of a relaxed structure of RbTmUS4.

```
data_RbTmUS4
_symmetry_space_group_name_H-M 'I m m a'
_symmetry_Int_Tables_number 74
_symmetry_space_group_name_Hall '-I 2b 2'
_cell_length_a 8.3968
_cell_length_b 8.5326
_cell_length_c 11.7629
_cell_angle_alpha 90.00
_cell_angle_beta 90.00
_cell_angle_gamma 90.00
loop_
_atom_site_label
_atom_site_fract_x
_atom_site_fract_y
_atom_site_fract_z
Rb1 0.0000 0.2500 0.1297
Tm1 0.2500 0.2500 0.7500
U1 0.0000 0.0000 0.5000
S1 0.0000 0.0456 0.7281
S2 0.2038 0.2500 0.5185
```

=====

Entry 4:
The following is a DFT calculation (PBE) of a relaxed structure of Rb4TmU3S8.

```
data_Rb4TmU3S8
_symmetry_space_group_name_H-M 'R -3 m'
_symmetry_Int_Tables_number 166
_symmetry_space_group_name_Hall '-R 3 2"'
_cell_length_a 8.1256
_cell_length_b 8.1256
_cell_length_c 23.2023
_cell_angle_alpha 90.00
_cell_angle_beta 90.00
_cell_angle_gamma 120.00
loop_
_atom_site_label
_atom_site_fract_x
_atom_site_fract_y
_atom_site_fract_z
Rb1 0.0000 0.0000 0.0000
Rb2 0.0000 0.5000 0.0000
Tm1 0.0000 0.0000 0.5000
U1 0.0000 0.5000 0.5000
S1 0.0000 0.0000 0.2312
S2 0.0044 0.5022 0.2309
```

=====

Entry 5:
The following is a DFT calculation (PBE) of a relaxed structure of Rb2TmVS4.

```
data_Rb2TmVS4
_symmetry_space_group_name_H-M 'I -4'
_symmetry_Int_Tables_number 82
_symmetry_space_group_name_Hall 'I -4'
_cell_length_a 7.2826
_cell_length_b 7.2826
_cell_length_c 9.6083
_cell_angle_alpha 90.00
_cell_angle_beta 90.00
_cell_angle_gamma 90.00
loop_
_atom_site_label
_atom_site_fract_x
_atom_site_fract_y
_atom_site_fract_z
Rb1 0.0000 0.0000 0.0000
Rb2 0.0000 0.5000 0.2500
Tm1 0.0000 0.5000 0.7500
V1 0.0000 0.0000 0.5000
S1 0.1488 0.2328 0.6180
```

=====

Entry 6:
The following is a DFT calculation (PBE) of a relaxed structure of RbYTm4S8.

```
data_RbYTm4S8
_symmetry_space_group_name_H-M 'R 3 m'
_symmetry_Int_Tables_number 160
_symmetry_space_group_name_Hall 'R 3 -2"'
_cell_length_a 8.1641
_cell_length_b 8.1641
_cell_length_c 20.2225
_cell_angle_alpha 90.00
_cell_angle_beta 90.00
_cell_angle_gamma 120.00
loop_
_atom_site_label
_atom_site_fract_x
_atom_site_fract_y
_atom_site_fract_z
Rb1 0.0000 0.0000 0.0000
Y1 0.0000 0.0000 0.3672
Tm1 0.0000 0.0000 0.7470
Tm2 0.0121 0.5061 0.8740
S1 0.0000 0.0000 0.1426
S2 0.0000 0.0000 0.6153
S3 0.0176 0.5088 0.1252
S4 0.1908 0.3815 0.9477
```

=====

Entry 7:
The following is a DFT calculation (PBE) of a relaxed structure of Rb3YTm2S6.

```
data_Rb3YTm2S6
_symmetry_space_group_name_H-M 'C 1 2/m 1'
_symmetry_Int_Tables_number 12
_symmetry_space_group_name_Hall '-C 2y'
_cell_length_a 7.0076
_cell_length_b 12.1374
_cell_length_c 8.0271
_cell_angle_alpha 90.00
_cell_angle_beta 106.92
_cell_angle_gamma 90.00
loop_
_atom_site_label
_atom_site_fract_x
_atom_site_fract_y
_atom_site_fract_z
Rb1 0.0000 0.0000 0.0000
Rb2 0.0000 0.3338 0.0000
Y1 0.0000 0.5000 0.5000
Tm1 0.0000 0.1667 0.5000
S1 0.2265 0.0000 0.6904
S2 0.2320 0.3315 0.6905
```

=====

Entry 8:
The following is a DFT calculation (PBE) of a relaxed structure of RbY4TmS8.

```
data_RbY4TmS8
_symmetry_space_group_name_H-M 'R 3 m'
_symmetry_Int_Tables_number 160
_symmetry_space_group_name_Hall 'R 3 -2"'
_cell_length_a 8.2910
_cell_length_b 8.2910
_cell_length_c 20.0901
_cell_angle_alpha 90.00
_cell_angle_beta 90.00
_cell_angle_gamma 120.00
loop_
_atom_site_label
_atom_site_fract_x
_atom_site_fract_y
_atom_site_fract_z
Rb1 0.0000 0.0000 0.0000
Y1 0.0000 0.0000 0.2470
Y2 0.1731 0.3462 0.4542
Tm1 0.0000 0.0000 0.6266
S1 0.0000 0.0000 0.3797
S2 0.0000 0.0000 0.8544
S3 0.0532 0.5266 0.3770
S4 0.1771 0.3543 0.2037
```

=====

Entry 9:
The following is a DFT calculation (PBE) of a relaxed structure of RbTmZnS3.

```
data_RbTmZnS3
_symmetry_space_group_name_H-M 'P 1 21/m 1'
_symmetry_Int_Tables_number 11
_symmetry_space_group_name_Hall '-P 2yb'
_cell_length_a 8.9935
_cell_length_b 3.9753
_cell_length_c 9.6643
_cell_angle_alpha 90.00
_cell_angle_beta 109.98
_cell_angle_gamma 90.00
loop_
_atom_site_label
_atom_site_fract_x
_atom_site_fract_y
_atom_site_fract_z
Rb1 0.2126 0.2500 0.2368
Tm1 0.3328 0.7500 0.8612
Zn1 0.0841 0.2500 0.6097
S1 0.1224 0.2500 0.8573
S2 0.1950 0.7500 0.5428
S3 0.4695 0.7500 0.1522
```

=====

Entry 10:
The following is a DFT calculation (PBE) of a relaxed structure of Rb2Tm2ZrS6.

```
data_Rb2Tm2ZrS6
_symmetry_space_group_name_H-M 'C 1 2/m 1'
_symmetry_Int_Tables_number 12
_symmetry_space_group_name_Hall '-C 2y'
_cell_length_a 6.7661
_cell_length_b 11.6607
_cell_length_c 8.1984
_cell_angle_alpha 90.00
_cell_angle_beta 106.24
_cell_angle_gamma 90.00
loop_
_atom_site_label
_atom_site_fract_x
_atom_site_fract_y
_atom_site_fract_z
Rb1 0.0000 0.1688 0.0000
Tm1 0.0000 0.3334 0.5000
Zr1 0.0000 0.0000 0.5000
S1 0.2235 0.1607 0.6848
S2 0.2422 0.5000 0.6840
```

=====

Entry 11:
The following is a DFT calculation (PBE) of a relaxed structure of Rb2TmZrS4.

```
data_Rb2TmZrS4
_symmetry_space_group_name_H-M 'P 1 2/m 1'
_symmetry_Int_Tables_number 10
_symmetry_space_group_name_Hall '-P 2y'
_cell_length_a 6.7991
_cell_length_b 3.8904
_cell_length_c 8.0184
_cell_angle_alpha 90.00
_cell_angle_beta 106.16
_cell_angle_gamma 90.00
loop_
_atom_site_label
_atom_site_fract_x
_atom_site_fract_y
_atom_site_fract_z
Rb1 0.0000 0.0000 0.0000
Rb2 0.5000 0.5000 0.0000
Tm1 0.0000 0.5000 0.5000
Zr1 0.5000 0.0000 0.5000
S1 0.2384 0.0000 0.6914
S2 0.2774 0.5000 0.3102
```

=====

Entry 12:
The following is a DFT calculation (PBE) of a relaxed structure of Rb3Tm3ZrS8.

```
data_Rb3Tm3ZrS8
_symmetry_space_group_name_H-M 'R -3 m'
_symmetry_Int_Tables_number 166
_symmetry_space_group_name_Hall '-R 3 2"'
_cell_length_a 7.8715
_cell_length_b 7.8715
_cell_length_c 23.4729
_cell_angle_alpha 90.00
_cell_angle_beta 90.00
_cell_angle_gamma 120.00
loop_
_atom_site_label
_atom_site_fract_x
_atom_site_fract_y
_atom_site_fract_z
Rb1 0.0000 0.5000 0.0000
Tm1 0.0000 0.5000 0.5000
Zr1 0.0000 0.0000 0.5000
S1 0.0000 0.0000 0.2295
S2 0.0122 0.5061 0.2279
```

=====

Entry 13:
The following is a DFT calculation (PBE) of a relaxed structure of Rb3US4.

```
data_Rb3US4
_symmetry_space_group_name_H-M 'P 1 2/c 1'
_symmetry_Int_Tables_number 13
_symmetry_space_group_name_Hall '-P 2yc'
_cell_length_a 8.1277
_cell_length_b 9.1593
_cell_length_c 7.3870
_cell_angle_alpha 90.00
_cell_angle_beta 109.17
_cell_angle_gamma 90.00
loop_
_atom_site_label
_atom_site_fract_x
_atom_site_fract_y
_atom_site_fract_z
Rb1 0.0000 0.1124 0.2500
Rb2 0.5000 0.1246 0.7500
Rb3 0.5000 0.3874 0.2500
U1 0.0000 0.3851 0.7500
S1 0.1799 0.4058 0.5001
S2 0.2105 0.1894 0.9438
```

=====

Entry 14:
The following is a DFT calculation (PBE) of a relaxed structure of Rb3US4.

```
data_Rb3US4
_symmetry_space_group_name_H-M 'I m m 2'
_symmetry_Int_Tables_number 44
_symmetry_space_group_name_Hall 'I 2 -2'
_cell_length_a 7.8704
_cell_length_b 11.0406
_cell_length_c 8.5392
_cell_angle_alpha 90.00
_cell_angle_beta 90.00
_cell_angle_gamma 90.00
loop_
_atom_site_label
_atom_site_fract_x
_atom_site_fract_y
_atom_site_fract_z
Rb1 0.0000 0.0000 0.0000
Rb2 0.0000 0.2179 0.4610
U1 0.0000 0.5000 0.9613
S1 0.0000 0.3001 0.0964
S2 0.2480 0.0000 0.2905
```

=====

Entry 15:
The following is a DFT calculation (PBE) of a relaxed structure of RbU4S6.

```
data_RbU4S6
_symmetry_space_group_name_H-M 'I -4 2 m'
_symmetry_Int_Tables_number 121
_symmetry_space_group_name_Hall 'I -4 2'
_cell_length_a 7.4928
_cell_length_b 7.4928
_cell_length_c 9.8202
_cell_angle_alpha 90.00
_cell_angle_beta 90.00
_cell_angle_gamma 90.00
loop_
_atom_site_label
_atom_site_fract_x
_atom_site_fract_y
_atom_site_fract_z
Rb1 0.0000 0.0000 0.0000
U1 0.1723 0.1723 0.5840
S1 0.0000 0.5000 0.0000
S2 0.1614 0.1614 0.2946
```

=====

Entry 16:
The following is a DFT calculation (PBE) of a relaxed structure of Rb2U3S9.

```
data_Rb2U3S9
_symmetry_space_group_name_H-M 'C 1 2/c 1'
_symmetry_Int_Tables_number 15
_symmetry_space_group_name_Hall '-C 2yc'
_cell_length_a 14.3520
_cell_length_b 8.3076
_cell_length_c 11.6092
_cell_angle_alpha 90.00
_cell_angle_beta 114.07
_cell_angle_gamma 90.00
loop_
_atom_site_label
_atom_site_fract_x
_atom_site_fract_y
_atom_site_fract_z
Rb1 0.1627 0.0812 0.2493
U1 0.0792 0.2669 0.5008
U2 0.2500 0.2500 0.0000
S1 0.0000 0.3179 0.2500
S2 0.0653 0.0729 0.9452
S3 0.1059 0.4106 0.0513
S4 0.1384 0.2835 0.7489
S5 0.2377 0.4108 0.4461
```

=====

Entry 17:
The following is a DFT calculation (PBE) of a relaxed structure of Rb4US5.

```
data_Rb4US5
_symmetry_space_group_name_H-M 'I 4'
_symmetry_Int_Tables_number 79
_symmetry_space_group_name_Hall 'I 4'
_cell_length_a 10.2825
_cell_length_b 10.2825
_cell_length_c 6.5630
_cell_angle_alpha 90.00
_cell_angle_beta 90.00
_cell_angle_gamma 90.00
loop_
_atom_site_label
_atom_site_fract_x
_atom_site_fract_y
_atom_site_fract_z
Rb1 0.1013 0.2978 0.0000
U1 0.0000 0.0000 0.4682
S1 0.0000 0.0000 0.0849
S2 0.0737 0.2336 0.5018
```

=====

Entry 18:
The following is a DFT calculation (PBE) of a relaxed structure of RbUS4.

```
data_RbUS4
_symmetry_space_group_name_H-M 'C 1 2/m 1'
_symmetry_Int_Tables_number 12
_symmetry_space_group_name_Hall '-C 2y'
_cell_length_a 14.4619
_cell_length_b 7.3994
_cell_length_c 7.2870
_cell_angle_alpha 90.00
_cell_angle_beta 94.08
_cell_angle_gamma 90.00
loop_
_atom_site_label
_atom_site_fract_x
_atom_site_fract_y
_atom_site_fract_z
Rb1 0.1900 0.0000 0.1712
U1 0.0392 0.5000 0.2642
S1 0.0000 0.2692 0.0000
S2 0.0710 0.2539 0.5332
S3 0.2074 0.5000 0.2406
```

=====

Entry 19:
The following is a DFT calculation (PBE) of a relaxed structure of RbU4S8.

```
data_RbU4S8
_symmetry_space_group_name_H-M 'C 1 2/m 1'
_symmetry_Int_Tables_number 12
_symmetry_space_group_name_Hall '-C 2y'
_cell_length_a 13.8414
_cell_length_b 7.9982
_cell_length_c 10.7239
_cell_angle_alpha 90.00
_cell_angle_beta 129.61
_cell_angle_gamma 90.00
loop_
_atom_site_label
_atom_site_fract_x
_atom_site_fract_y
_atom_site_fract_z
Rb1 0.0000 0.0000 0.0000
U1 0.0000 0.2516 0.5000
U2 0.2425 0.5000 0.4858
S1 0.0043 0.0000 0.3329
S2 0.0062 0.5000 0.6759
S3 0.2473 0.2408 0.3270
```

=====

Entry 20:
The following is a DFT calculation (PBE) of a relaxed structure of Rb3US3.

```
data_Rb3US3
_symmetry_space_group_name_H-M 'C 1 2/m 1'
_symmetry_Int_Tables_number 12
_symmetry_space_group_name_Hall '-C 2y'
_cell_length_a 9.0693
_cell_length_b 13.7398
_cell_length_c 8.6290
_cell_angle_alpha 90.00
_cell_angle_beta 107.98
_cell_angle_gamma 90.00
loop_
_atom_site_label
_atom_site_fract_x
_atom_site_fract_y
_atom_site_fract_z
Rb1 0.0000 0.1801 0.0000
Rb2 0.0000 0.2862 0.5000
Rb3 0.1125 0.5000 0.8808
U1 0.1191 0.0000 0.6074
S1 0.1374 0.0000 0.3035
S2 0.2108 0.3589 0.2291
```

=====

How do the records compare in volume? In the order shown, they have 29.97; 27.58; 30.10; 27.64; 31.85; 27.79; 27.22; 28.48; 27.06; 28.23; 25.46; 27.99; 32.46; 46.38; 25.06; 22.57; 34.69; 32.41; 35.18; 36.53 Å³/atom.
How do the records compare in VASP energy? In the order shown, they have -6.466; -6.061; -6.316; -6.164; -5.276; -6.058; -5.444; -6.499; -4.672; -5.814; -5.562; -5.670; -5.170; -4.891; -7.478; -6.194; -4.819; -5.850; -7.504; -4.954 eV/atom.